Record 1
Material: Ce3TlTc
Method: DFT, PBE-GGA
State: optimized geometry

Summary:
Its excess energy over the best structure of this formula in the dataset is 44 meV/atom. The formation energy is -0.065 eV/atom. As for the calculated volume: 29.73 A^3/atom. As for the total magnetic moment: 1.501 μB per cell. As for the electronic total energy: -30.9 eV for the cell shown.

a = 5.2973 Å, b = 5.2973 Å, c = 5.2973 Å
α = 90.00°, β = 90.00°, γ = 90.00°
Last column: nearest neighbours and their distance in Å.
Atoms (fractional coordinates):
1 Tc 0.0000 0.0000 0.0000  6 Ce 2.65
2 Ce 0.0000 0.5000 0.0000  2 Tc 2.65
3 Ce 0.5000 0.0000 0.0000  2 Tc 2.65
4 Ce 0.0000 0.0000 0.5000  2 Tc 2.65
5 Tl 0.5000 0.5000 0.5000  12 Ce 3.75

---

Record 2
Material: Ce6Tl2Tc
Method: DFT, PBE-GGA
State: optimized geometry

Summary:
Its excess energy over the best structure of this formula in the dataset is 36 meV/atom. The formation energy is -0.118 eV/atom. As for the calculated volume: 26.78 A^3/atom. As for the total magnetic moment: 3.324 μB per cell. As for the electronic total energy: -51.8 eV for the cell shown.

a = 3.6030 Å, b = 8.2541 Å, c = 9.0957 Å
α = 116.98°, β = 90.00°, γ = 90.00°
Last column: nearest neighbours and their distance in Å.
Atoms (fractional coordinates):
1 Ce 0.5000 0.3545 0.3673  2 Ce 2.99, 4 Tl 3.30-3.33, 1 Tc 3.30
2 Tl 0.0000 0.6691 0.3314  9 Ce 3.30-3.42, 2 Tl 3.60
3 Ce 0.5000 0.6057 0.0000  1 Tc 3.24, 4 Tl 3.34, 4 Ce 3.46-3.60
4 Tc 0.5000 0.9982 0.0000  6 Ce 2.74-2.91
5 Ce 0.0000 0.7683 0.7364  2 Tc 2.91, 2 Ce 2.99
6 Ce 0.0000 0.2476 0.0000  2 Tc 2.74
7 Tl 0.0000 0.3376 0.6686  9 Ce 3.30-3.42, 2 Tl 3.60
8 Ce 0.0000 0.0319 0.2636  2 Tc 2.91, 2 Ce 2.99
9 Ce 0.5000 0.9872 0.6327  2 Ce 2.99, 4 Tl 3.30-3.33, 1 Tc 3.30

---

Record 3
Material: Ce2TlTc
Method: DFT, PBE-GGA
State: optimized geometry

Summary:
The formation energy is -0.047 eV/atom. As for the calculated volume: 24.71 A^3/atom. As for the total magnetic moment: 5.273 μB per cell. As for the electronic total energy: -99.2 eV for the cell shown.

a = 6.6590 Å, b = 6.5163 Å, c = 9.1106 Å
α = 90.00°, β = 90.00°, γ = 90.00°
Last column: nearest neighbours and their distance in Å.
Atoms (fractional coordinates):
1 Tl 0.9788 0.2706 0.7500  1 Tc 2.95, 2 Tl 3.26
2 Tl 0.4788 0.2294 0.2500  1 Tc 2.95, 2 Tl 3.26
3 Ce 0.8481 0.0151 0.4422  1 Tc 2.40
4 Tc 0.5750 0.5842 0.7500  2 Ce 2.40
5 Ce 0.3481 0.4849 0.9422  1 Tc 2.40
6 Tl 0.9788 0.7706 0.7500  1 Tc 2.95, 2 Tl 3.26
7 Tc 0.5750 0.0842 0.7500  2 Ce 2.40
8 Ce 0.8481 0.5151 0.0578  1 Tc 2.40
9 Tc 0.0750 0.9158 0.2500  2 Ce 2.40
10 Ce 0.8479 0.0151 0.0577  1 Tc 2.40
11 Ce 0.8479 0.5151 0.4423  1 Tc 2.40
12 Ce 0.3479 0.9849 0.9423  1 Tc 2.40
13 Ce 0.3479 0.4849 0.5577  1 Tc 2.40
14 Tl 0.4788 0.7294 0.2500  1 Tc 2.95, 2 Tl 3.26
15 Ce 0.3481 0.9849 0.5578  1 Tc 2.40
16 Tc 0.0750 0.4158 0.2500  2 Ce 2.40

---

Record 4
Material: Ce2TlTc
Method: DFT, PBE-GGA
State: optimized geometry

Summary:
The formation energy is -0.113 eV/atom. As for the calculated volume: 23.65 A^3/atom. As for the total magnetic moment: 2.023 μB per cell. As for the electronic total energy: -50.1 eV for the cell shown.

a = 5.1743 Å, b = 5.1743 Å, c = 8.1595 Å
α = 90.00°, β = 90.00°, γ = 60.00°
Last column: nearest neighbours and their distance in Å.
Atoms (fractional coordinates):
1 Tl 0.0000 0.0000 0.2459  3 Tc 2.99, 3 Ce 3.34
2 Ce 0.6667 0.6667 0.5640  1 Tc 2.45
3 Tl 0.0000 0.0000 0.7541  3 Tc 2.99, 3 Ce 3.34
4 Ce 0.3333 0.3333 0.4360  1 Tc 2.45
5 Tc 0.3333 0.3333 0.7362  2 Ce 2.45-2.67
6 Ce 0.6667 0.6667 0.9360  1 Tc 2.67
7 Ce 0.3333 0.3333 0.0640  1 Tc 2.67
8 Tc 0.6667 0.6667 0.2638  2 Ce 2.45-2.67

---

Record 5
Material: Ce2TlTc
Method: DFT, PBE-GGA
State: optimized geometry

Summary:
The formation energy is -0.170 eV/atom. As for the calculated volume: 24.54 A^3/atom. As for the total magnetic moment: 0.000 μB per cell. As for the electronic total energy: -25.3 eV for the cell shown.

a = 3.3630 Å, b = 3.3630 Å, c = 8.6788 Å
α = 90.00°, β = 90.00°, γ = 90.00°
Last column: nearest neighbours and their distance in Å.
Atoms (fractional coordinates):
1 Tc 0.5000 0.5000 0.0000  8 Ce 2.95
2 Tl 0.5000 0.5000 0.5000  4 Tl 3.36, 8 Ce 3.52
3 Ce 0.0000 0.0000 0.7987  4 Tc 2.95
4 Ce 0.0000 0.0000 0.2013  4 Tc 2.95

---

Record 6
Material: Ce7TlTc2
Method: DFT, PBE-GGA
State: optimized geometry

Summary:
The formation energy is 0.077 eV/atom. As for the calculated volume: 30.30 A^3/atom. As for the total magnetic moment: 4.543 μB per cell. As for the electronic total energy: -63.9 eV for the cell shown.

a = 5.1648 Å, b = 7.9805 Å, c = 7.9805 Å
α = 112.89°, β = 90.00°, γ = 90.00°
Last column: nearest neighbours and their distance in Å.
Atoms (fractional coordinates):
1 Tl 0.0000 0.0000 0.0000  8 Ce 3.37
2 Ce 0.5000 0.7131 0.9465  3 Ce 3.00-3.30, 2 Tc 3.02-3.05
3 Tc 0.5000 0.3139 0.6861  3 Ce 2.48-2.61
4 Tc 0.5000 0.6861 0.3139  3 Ce 2.48-2.61
5 Ce 0.5000 0.0535 0.2869  3 Ce 3.00-3.30, 2 Tc 3.02-3.05
6 Ce 0.5000 0.2869 0.0535  3 Ce 3.00-3.30, 2 Tc 3.02-3.05
7 Ce 0.0000 0.2851 0.7149  2 Tc 2.61
8 Ce 0.0000 0.7149 0.2851  2 Tc 2.61
9 Ce 0.5000 0.5000 0.5000  2 Tc 2.48
10 Ce 0.5000 0.9465 0.7131  3 Ce 3.00-3.30, 2 Tc 3.02-3.05

---

Record 7
Material: Ce2TlTc
Method: DFT, PBE-GGA
State: optimized geometry

Summary:
The formation energy is 0.028 eV/atom. As for the calculated volume: 23.39 A^3/atom. As for the total magnetic moment: 0.000 μB per cell. As for the electronic total energy: -24.5 eV for the cell shown.

a = 4.2884 Å, b = 4.6710 Å, c = 4.6710 Å
α = 90.00°, β = 90.00°, γ = 90.00°
Last column: nearest neighbours and their distance in Å.
Atoms (fractional coordinates):
1 Ce 0.0000 0.5000 0.0000  4 Tl 3.17, 4 Tc 3.17, 4 Ce 3.30
2 Tc 0.5000 0.0000 0.0000  8 Ce 3.17, 4 Tl 3.30
3 Tl 0.5000 0.5000 0.5000  8 Ce 3.17, 4 Tc 3.30
4 Ce 0.0000 0.0000 0.5000  4 Tl 3.17, 4 Tc 3.17, 4 Ce 3.30

---

Record 8
Material: Ce3TlTc
Method: DFT, PBE-GGA
State: optimized geometry

Summary:
Its excess energy over the best structure of this formula in the dataset is 0 meV/atom. The formation energy is -0.109 eV/atom. As for the calculated volume: 27.12 A^3/atom. As for the total magnetic moment: 2.915 μB per cell. As for the electronic total energy: -62.2 eV for the cell shown.

a = 5.4227 Å, b = 6.2006 Å, c = 9.6042 Å
α = 108.77°, β = 90.00°, γ = 115.93°
Last column: nearest neighbours and their distance in Å.
Atoms (fractional coordinates):
1 Tl 0.5917 0.1834 0.4097  1 Tl 3.12, 6 Ce 3.24-3.42
2 Ce 0.8840 0.7680 0.3764  1 Ce 2.82, 1 Tc 2.98
3 Ce 0.8645 0.7290 0.7499  1 Tc 2.45
4 Ce 0.3704 0.7408 0.0543  3 Tc 2.75-2.94
5 Ce 0.1355 0.2710 0.2501  1 Tc 2.45
6 Tc 0.0884 0.1767 0.9208  1 Ce 2.45
7 Ce 0.6296 0.2592 0.9457  3 Tc 2.75-2.94
8 Tc 0.9116 0.8233 0.0792  1 Ce 2.45
9 Ce 0.1160 0.2320 0.6236  1 Ce 2.82, 1 Tc 2.98
10 Tl 0.4083 0.8166 0.5903  1 Tl 3.12, 6 Ce 3.24-3.42